No. 1
First-principles (PBE-GGA) data for an optimized crystal structure of Ho2InSe4, as listed in Alexandria via LeMat-Bulk.

abc: 15.3009 4.0984 7.2066
angles: 90.00 115.88 90.00
Space group C2/m (No. 12)
Asymmetric unit:
Ho: 0.2340 0.0000 0.2212 x4
In: 0.0000 0.5000 0.5000 x2
Se: 0.1280 0.5000 0.9521 x4
Se: 0.1419 0.0000 0.4921 x4

- Formation energy without anion corrections: -1.3958 eV per atom
- Calculated total energy: -5.0861 eV/atom
- DOS at the Fermi energy: 0.359 states/eV per atom

---

No. 2
First-principles (PBE-GGA) data for an optimized crystal structure of HoIn2Se, as listed in Alexandria via LeMat-Bulk.

abc: 4.1596 4.2083 11.2777
angles: 90.00 90.00 90.00
Space group Immm (No. 71)
Asymmetric unit:
Ho: 0.0000 0.0000 0.0000 x2
In: 0.0000 0.5000 0.2483 x4
Se: 0.0000 0.0000 0.5000 x2

- Formation energy without anion corrections: -0.6375 eV per atom
- Calculated total energy: -4.0223 eV/atom
- DOS at the Fermi energy: 0.581 states/eV per atom